Model P:
{
  "formula": "LiVPO4",
  "functional": "GGA-PBEsol",
  "state": "relaxed",
  "crystal_system": "orthorhombic",
  "magmom_total_mub_per_fu": 3.00,
  "space_group": "Pnma, No. 62",
  "cell": [[10.228, 0.000, 0.000], [0.000, 5.974, 0.000], [0.000, 0.000, 4.665]],
  "species": ["Li", "Li", "Li", "Li", "V", "V", "V", "V", "P", "P", "P", "P", "O", "O", "O", "O", "O", "O", "O", "O", "O", "O", "O", "O", "O", "O", "O", "O"],
  "frac_coords": [[0.000, 0.000, 0.000], [0.000, 0.500, 0.000], [0.500, 0.000, 0.500], [0.500, 0.500, 0.500], [0.227, 0.250, 0.485], [0.273, 0.750, 0.985], [0.727, 0.250, 0.015], [0.773, 0.750, 0.515], [0.092, 0.750, 0.418], [0.408, 0.250, 0.918], [0.592, 0.750, 0.082], [0.908, 0.250, 0.582], [0.048, 0.250, 0.706], [0.095, 0.750, 0.747], [0.164, 0.544, 0.279], [0.164, 0.956, 0.279], [0.336, 0.044, 0.779], [0.336, 0.456, 0.779], [0.405, 0.250, 0.247], [0.452, 0.750, 0.206], [0.548, 0.250, 0.794], [0.595, 0.750, 0.753], [0.664, 0.544, 0.221], [0.664, 0.956, 0.221], [0.836, 0.044, 0.721], [0.836, 0.456, 0.721], [0.905, 0.250, 0.253], [0.952, 0.750, 0.294]]
}



Model Q:
{
  "formula": "LiVPO4",
  "functional": "GGA-PBEsol",
  "state": "relaxed",
  "crystal_system": "orthorhombic",
  "magmom_total_mub_per_fu": 3.00,
  "space_group": "Cmcm, No. 63",
  "cell": [[2.720, -4.157, 0.000], [2.720, 4.157, 0.000], [0.000, 0.000, 6.164]],
  "species": ["Li", "Li", "V", "V", "P", "P", "O", "O", "O", "O", "O", "O", "O", "O"],
  "frac_coords": [[0.168, 0.832, 0.750], [0.832, 0.168, 0.250], [0.500, 0.500, 0.000], [0.500, 0.500, 0.500], [0.148, 0.852, 0.250], [0.852, 0.148, 0.750], [0.198, 0.260, 0.750], [0.250, 0.750, 0.044], [0.250, 0.750, 0.456], [0.260, 0.198, 0.250], [0.740, 0.802, 0.750], [0.750, 0.250, 0.544], [0.750, 0.250, 0.956], [0.802, 0.740, 0.250]]
}



model P is the most stable structure; the next one sits 0.5 kJ/mol of atoms above it.



Model P:
{
  "formula": "Li4VP2O8",
  "functional": "GGA-PBEsol",
  "state": "relaxed",
  "crystal_system": "triclinic",
  "magmom_total_mub_per_fu": 3.00,
  "space_group": "P-1, No. 2",
  "cell": [[4.841, 0.000, 0.000], [-0.825, 5.068, 0.000], [-0.387, -0.599, 6.115]],
  "species": ["Li", "Li", "Li", "Li", "V", "P", "P", "O", "O", "O", "O", "O", "O", "O", "O"],
  "frac_coords": [[0.157, 0.294, 0.024], [0.332, 0.609, 0.699], [0.668, 0.391, 0.301], [0.843, 0.706, 0.976], [0.000, 0.000, 0.500], [0.368, 0.822, 0.230], [0.632, 0.178, 0.770], [0.215, 0.683, 0.414], [0.246, 0.681, 0.006], [0.301, 0.110, 0.258], [0.314, 0.191, 0.745], [0.686, 0.809, 0.255], [0.699, 0.890, 0.742], [0.754, 0.319, 0.994], [0.785, 0.317, 0.586]]
}



Model Q:
{
  "formula": "Li4VP2O8",
  "functional": "GGA-PBEsol",
  "state": "relaxed",
  "crystal_system": "monoclinic",
  "magmom_total_mub_per_fu": 3.00,
  "space_group": "P2_1/c, No. 14",
  "cell": [[8.121, 0.000, 0.000], [0.000, 10.096, 0.000], [-2.511, 0.000, 7.960]],
  "species": ["Li", "Li", "Li", "Li", "Li", "Li", "Li", "Li", "Li", "Li", "Li", "Li", "Li", "Li", "Li", "Li", "V", "V", "V", "V", "P", "P", "P", "P", "P", "P", "P", "P", "O", "O", "O", "O", "O", "O", "O", "O", "O", "O", "O", "O", "O", "O", "O", "O", "O", "O", "O", "O", "O", "O", "O", "O", "O", "O", "O", "O", "O", "O", "O", "O"],
  "frac_coords": [[0.013, 0.075, 0.256], [0.013, 0.425, 0.756], [0.101, 0.161, 0.606], [0.101, 0.339, 0.106], [0.157, 0.662, 0.663], [0.157, 0.838, 0.163], [0.342, 0.164, 0.356], [0.342, 0.336, 0.856], [0.658, 0.664, 0.144], [0.658, 0.836, 0.644], [0.843, 0.162, 0.837], [0.843, 0.338, 0.337], [0.899, 0.661, 0.894], [0.899, 0.839, 0.394], [0.987, 0.575, 0.244], [0.987, 0.925, 0.744], [0.382, 0.643, 0.366], [0.382, 0.857, 0.866], [0.618, 0.143, 0.134], [0.618, 0.357, 0.634], [0.212, 0.091, 0.982], [0.212, 0.409, 0.482], [0.279, 0.583, 0.038], [0.279, 0.917, 0.538], [0.721, 0.083, 0.462], [0.721, 0.417, 0.962], [0.788, 0.591, 0.518], [0.788, 0.909, 0.018], [0.064, 0.108, 0.815], [0.064, 0.392, 0.315], [0.158, 0.642, 0.136], [0.158, 0.858, 0.636], [0.159, 0.154, 0.129], [0.159, 0.346, 0.629], [0.211, 0.055, 0.471], [0.211, 0.445, 0.971], [0.244, 0.560, 0.515], [0.244, 0.940, 0.015], [0.284, 0.675, 0.894], [0.284, 0.825, 0.394], [0.375, 0.159, 0.961], [0.375, 0.341, 0.461], [0.461, 0.578, 0.172], [0.461, 0.922, 0.672], [0.539, 0.078, 0.328], [0.539, 0.422, 0.828], [0.625, 0.659, 0.539], [0.625, 0.841, 0.039], [0.716, 0.175, 0.606], [0.716, 0.325, 0.106], [0.756, 0.060, 0.985], [0.756, 0.440, 0.485], [0.789, 0.555, 0.029], [0.789, 0.945, 0.529], [0.841, 0.654, 0.371], [0.841, 0.846, 0.871], [0.842, 0.142, 0.364], [0.842, 0.358, 0.864], [0.936, 0.608, 0.685], [0.936, 0.892, 0.185]]
}



model P is the most stable structure; the next one sits 0.9 kJ/mol of atoms above it.



Model P:
{
  "formula": "Li2VP2O8",
  "functional": "GGA-PBEsol",
  "state": "relaxed",
  "crystal_system": "orthorhombic",
  "magmom_total_mub_per_fu": 1.00,
  "space_group": "P2_12_12_1, No. 19",
  "cell": [[6.767, 0.000, 0.000], [0.000, 8.936, 0.000], [0.000, 0.000, 10.267]],
  "species": ["Li", "Li", "Li", "Li", "Li", "Li", "Li", "Li", "V", "V", "V", "V", "P", "P", "P", "P", "P", "P", "P", "P", "O", "O", "O", "O", "O", "O", "O", "O", "O", "O", "O", "O", "O", "O", "O", "O", "O", "O", "O", "O", "O", "O", "O", "O", "O", "O", "O", "O", "O", "O", "O", "O"],
  "frac_coords": [[0.125, 0.194, 0.485], [0.134, 0.084, 0.886], [0.366, 0.916, 0.386], [0.375, 0.806, 0.985], [0.625, 0.306, 0.515], [0.634, 0.416, 0.114], [0.866, 0.584, 0.614], [0.875, 0.694, 0.015], [0.235, 0.780, 0.685], [0.265, 0.220, 0.185], [0.735, 0.720, 0.315], [0.765, 0.280, 0.815], [0.039, 0.933, 0.146], [0.134, 0.488, 0.832], [0.366, 0.512, 0.332], [0.461, 0.067, 0.646], [0.539, 0.567, 0.854], [0.634, 0.012, 0.168], [0.866, 0.988, 0.668], [0.961, 0.433, 0.354], [0.040, 0.335, 0.805], [0.053, 0.285, 0.303], [0.065, 0.574, 0.949], [0.113, 0.904, 0.009], [0.126, 0.579, 0.704], [0.136, 0.554, 0.355], [0.194, 0.004, 0.238], [0.199, 0.213, 0.035], [0.301, 0.787, 0.535], [0.306, 0.996, 0.738], [0.364, 0.446, 0.855], [0.374, 0.421, 0.204], [0.387, 0.096, 0.509], [0.435, 0.426, 0.449], [0.447, 0.715, 0.803], [0.460, 0.665, 0.305], [0.540, 0.165, 0.195], [0.553, 0.215, 0.697], [0.565, 0.926, 0.051], [0.613, 0.596, 0.991], [0.626, 0.921, 0.296], [0.636, 0.946, 0.645], [0.694, 0.496, 0.762], [0.699, 0.287, 0.965], [0.801, 0.713, 0.465], [0.806, 0.504, 0.262], [0.864, 0.054, 0.145], [0.874, 0.079, 0.796], [0.887, 0.404, 0.491], [0.935, 0.074, 0.551], [0.947, 0.785, 0.197], [0.960, 0.835, 0.695]]
}



Model Q:
{
  "formula": "Li2VP2O8",
  "functional": "GGA-PBEsol",
  "state": "relaxed",
  "crystal_system": "trigonal",
  "magmom_total_mub_per_fu": 1.00,
  "space_group": "P-3, No. 147",
  "cell": [[8.314, 0.000, 0.000], [-4.157, 7.200, 0.000], [0.000, 0.000, 7.216]],
  "species": ["Li", "Li", "Li", "Li", "Li", "Li", "V", "V", "V", "P", "P", "P", "P", "P", "P", "O", "O", "O", "O", "O", "O", "O", "O", "O", "O", "O", "O", "O", "O", "O", "O", "O", "O", "O", "O", "O", "O", "O", "O"],
  "frac_coords": [[0.042, 0.348, 0.133], [0.305, 0.958, 0.133], [0.348, 0.305, 0.867], [0.652, 0.695, 0.133], [0.695, 0.042, 0.867], [0.958, 0.652, 0.867], [0.000, 0.000, 0.500], [0.333, 0.667, 0.415], [0.667, 0.333, 0.585], [0.041, 0.350, 0.719], [0.309, 0.959, 0.719], [0.350, 0.309, 0.281], [0.650, 0.691, 0.719], [0.691, 0.041, 0.281], [0.959, 0.650, 0.281], [0.064, 0.859, 0.341], [0.117, 0.603, 0.249], [0.141, 0.206, 0.341], [0.151, 0.373, 0.893], [0.168, 0.467, 0.560], [0.206, 0.064, 0.659], [0.222, 0.849, 0.893], [0.300, 0.832, 0.560], [0.373, 0.222, 0.107], [0.397, 0.514, 0.249], [0.467, 0.300, 0.440], [0.486, 0.883, 0.249], [0.514, 0.117, 0.751], [0.533, 0.700, 0.560], [0.603, 0.486, 0.751], [0.627, 0.778, 0.893], [0.700, 0.168, 0.440], [0.778, 0.151, 0.107], [0.794, 0.936, 0.341], [0.832, 0.533, 0.440], [0.849, 0.627, 0.107], [0.859, 0.794, 0.659], [0.883, 0.397, 0.751], [0.936, 0.141, 0.659]]
}



model Q is the most stable structure; the next one sits 2.1 kJ/mol of atoms above it.



Model P:
{
  "formula": "Li2VP2O8",
  "functional": "GGA-PBEsol",
  "state": "relaxed",
  "crystal_system": "monoclinic",
  "magmom_total_mub_per_fu": 1.00,
  "space_group": "Cm, No. 8",
  "cell": [[3.960, -2.636, 0.000], [3.960, 2.636, 0.000], [-0.274, 0.000, 6.344]],
  "species": ["Li", "Li", "V", "P", "P", "O", "O", "O", "O", "O", "O", "O", "O"],
  "frac_coords": [[0.000, 0.000, 0.000], [0.678, 0.678, 0.241], [0.676, 0.676, 0.711], [0.029, 0.029, 0.487], [0.337, 0.337, 0.954], [0.386, 0.906, 0.506], [0.444, 0.444, 0.152], [0.448, 0.448, 0.756], [0.453, 0.980, 0.936], [0.906, 0.386, 0.506], [0.916, 0.916, 0.684], [0.929, 0.929, 0.282], [0.980, 0.453, 0.936]]
}



Model Q:
{
  "formula": "Li2VP2O8",
  "functional": "GGA-PBEsol",
  "state": "relaxed",
  "crystal_system": "monoclinic",
  "magmom_total_mub_per_fu": 1.00,
  "space_group": "P2_1/c, No. 14",
  "cell": [[4.977, 0.000, 0.000], [0.000, 7.731, 0.000], [-4.066, 0.000, 7.449]],
  "species": ["Li", "Li", "Li", "Li", "V", "V", "P", "P", "P", "P", "O", "O", "O", "O", "O", "O", "O", "O", "O", "O", "O", "O", "O", "O", "O", "O"],
  "frac_coords": [[0.016, 0.129, 0.105], [0.016, 0.371, 0.605], [0.984, 0.629, 0.395], [0.984, 0.871, 0.895], [0.000, 0.000, 0.500], [0.000, 0.500, 0.000], [0.348, 0.690, 0.791], [0.348, 0.810, 0.291], [0.652, 0.190, 0.709], [0.652, 0.310, 0.209], [0.203, 0.627, 0.237], [0.203, 0.873, 0.737], [0.229, 0.622, 0.923], [0.229, 0.878, 0.423], [0.244, 0.570, 0.635], [0.244, 0.930, 0.135], [0.299, 0.195, 0.594], [0.299, 0.305, 0.094], [0.701, 0.695, 0.906], [0.701, 0.805, 0.406], [0.756, 0.070, 0.865], [0.756, 0.430, 0.365], [0.771, 0.122, 0.577], [0.771, 0.378, 0.077], [0.797, 0.127, 0.263], [0.797, 0.373, 0.763]]
}



model Q is the most stable structure; the next one sits 1.9 kJ/mol of atoms above it.



Model P:
{
  "formula": "Li3V3P4O16",
  "functional": "GGA-PBEsol",
  "state": "relaxed",
  "crystal_system": "triclinic",
  "magmom_total_mub_per_fu": 6.00,
  "space_group": "P-1, No. 2",
  "cell": [[8.405, 0.000, 0.000], [-1.778, 8.681, 0.000], [-3.873, -3.086, 7.547]],
  "species": ["Li", "Li", "Li", "Li", "Li", "Li", "V", "V", "V", "V", "V", "V", "P", "P", "P", "P", "P", "P", "P", "P", "O", "O", "O", "O", "O", "O", "O", "O", "O", "O", "O", "O", "O", "O", "O", "O", "O", "O", "O", "O", "O", "O", "O", "O", "O", "O", "O", "O", "O", "O", "O", "O"],
  "frac_coords": [[0.119, 0.307, 0.153], [0.296, 0.541, 0.997], [0.311, 0.173, 0.030], [0.689, 0.827, 0.970], [0.704, 0.459, 0.003], [0.881, 0.693, 0.847], [0.137, 0.187, 0.611], [0.207, 0.742, 0.777], [0.495, 0.193, 0.499], [0.505, 0.807, 0.501], [0.793, 0.258, 0.223], [0.863, 0.813, 0.389], [0.053, 0.015, 0.224], [0.066, 0.629, 0.334], [0.446, 0.528, 0.689], [0.483, 0.073, 0.807], [0.517, 0.927, 0.193], [0.554, 0.472, 0.311], [0.934, 0.371, 0.666], [0.947, 0.985, 0.776], [0.023, 0.440, 0.277], [0.043, 0.142, 0.935], [0.064, 0.991, 0.397], [0.069, 0.874, 0.813], [0.077, 0.713, 0.517], [0.111, 0.343, 0.791], [0.237, 0.716, 0.325], [0.255, 0.114, 0.277], [0.324, 0.141, 0.800], [0.329, 0.790, 0.044], [0.331, 0.581, 0.776], [0.351, 0.421, 0.161], [0.360, 0.330, 0.601], [0.428, 0.611, 0.557], [0.451, 0.907, 0.835], [0.470, 0.031, 0.622], [0.530, 0.969, 0.378], [0.549, 0.093, 0.165], [0.572, 0.389, 0.443], [0.640, 0.670, 0.399], [0.649, 0.579, 0.839], [0.669, 0.419, 0.224], [0.671, 0.210, 0.956], [0.676, 0.859, 0.200], [0.745, 0.886, 0.723], [0.763, 0.284, 0.675], [0.889, 0.657, 0.209], [0.923, 0.287, 0.483], [0.931, 0.126, 0.187], [0.936, 0.009, 0.603], [0.957, 0.858, 0.065], [0.977, 0.560, 0.723]]
}



Model Q:
{
  "formula": "Li3V3P4O16",
  "functional": "GGA-PBEsol",
  "state": "relaxed",
  "crystal_system": "monoclinic",
  "magmom_total_mub_per_fu": 6.00,
  "space_group": "P2_1, No. 4",
  "cell": [[7.494, 0.000, 0.000], [0.000, 7.897, 0.000], [-0.886, 0.000, 10.048]],
  "species": ["Li", "Li", "Li", "Li", "Li", "Li", "V", "V", "V", "V", "V", "V", "P", "P", "P", "P", "P", "P", "P", "P", "O", "O", "O", "O", "O", "O", "O", "O", "O", "O", "O", "O", "O", "O", "O", "O", "O", "O", "O", "O", "O", "O", "O", "O", "O", "O", "O", "O", "O", "O", "O", "O"],
  "frac_coords": [[0.139, 0.000, 0.079], [0.149, 0.009, 0.575], [0.342, 0.270, 0.673], [0.658, 0.770, 0.327], [0.851, 0.509, 0.425], [0.861, 0.500, 0.921], [0.240, 0.637, 0.626], [0.244, 0.651, 0.129], [0.356, 0.284, 0.179], [0.644, 0.784, 0.821], [0.756, 0.151, 0.871], [0.760, 0.137, 0.374], [0.051, 0.831, 0.356], [0.051, 0.842, 0.853], [0.448, 0.444, 0.894], [0.449, 0.455, 0.404], [0.551, 0.955, 0.596], [0.552, 0.944, 0.106], [0.949, 0.331, 0.644], [0.949, 0.342, 0.147], [0.006, 0.513, 0.605], [0.012, 0.518, 0.104], [0.102, 0.208, 0.662], [0.114, 0.219, 0.158], [0.139, 0.835, 0.722], [0.151, 0.838, 0.226], [0.187, 0.781, 0.966], [0.195, 0.777, 0.470], [0.300, 0.503, 0.790], [0.305, 0.498, 0.284], [0.353, 0.443, 0.532], [0.369, 0.443, 0.035], [0.395, 0.069, 0.093], [0.396, 0.073, 0.586], [0.490, 0.766, 0.144], [0.496, 0.772, 0.652], [0.504, 0.272, 0.348], [0.510, 0.266, 0.856], [0.604, 0.573, 0.414], [0.605, 0.569, 0.907], [0.631, 0.943, 0.965], [0.647, 0.943, 0.468], [0.695, 0.998, 0.716], [0.700, 0.003, 0.210], [0.805, 0.277, 0.530], [0.813, 0.281, 0.034], [0.849, 0.338, 0.774], [0.861, 0.335, 0.278], [0.886, 0.719, 0.842], [0.898, 0.708, 0.338], [0.988, 0.018, 0.896], [0.994, 0.013, 0.395]]
}



model Q is the most stable structure; the next one sits 2.8 kJ/mol of atoms above it.